Model 1:
Density functional theory data (PBE) for TaRhBr2 after structural relaxation.

Unit cell a=3.2099 b=3.2099 c=26.3574 alpha=90.00 beta=90.00 gamma=120.00
With the nearest neighbours (Å) after each atom.
Space group R-3m (No. 166, hexagonal axes)
Unique sites:
Ta (0.0000, 0.0000, 0.0000) [3 per cell]  6 Br 2.68
Rh (0.0000, 0.0000, 0.5000) [3 per cell]  2 Br 2.45
Br (0.0000, 0.0000, 0.4069) [6 per cell]  1 Rh 2.45, 3 Ta 2.68

Values from the calculation:
- density (Mg/m³) = 9.4
- volume (Å³/cell) = 235.19

---

Model 2:
Density functional theory data (PBE) for TaRhBr2 after structural relaxation.

Unit cell a=3.3225 b=3.3225 c=8.3836 alpha=90.00 beta=90.00 gamma=90.00
With the nearest neighbours (Å) after each atom.
Space group P4mm (No. 99)
Unique sites:
Ta (0.0000, 0.0000, 0.0000) [1 per cell]  4 Rh 2.66, 1 Br 2.83
Rh (0.5000, 0.5000, 0.8523) [1 per cell]  4 Ta 2.66, 4 Br 2.84
Br (0.0000, 0.0000, 0.6628) [1 per cell]  1 Ta 2.83, 4 Rh 2.84
Br (0.5000, 0.5000, 0.2375) [1 per cell]  4 Ta 3.08, 1 Rh 3.23, 4 Br 3.32

Values from the calculation:
- density (Mg/m³) = 8.0
- volume (Å³/cell) = 92.55

---

Model 3:
Density functional theory data (PBE) for TaRhBr2 after structural relaxation.

Unit cell a=6.1661 b=6.1661 c=9.8803 alpha=90.00 beta=90.00 gamma=90.00
With the nearest neighbours (Å) after each atom.
Space group I-42d (No. 122)
Unique sites:
Ta (0.0000, 0.0000, 0.0000) [4 per cell]  4 Br 2.52
Rh (0.0000, 0.0000, 0.5000) [4 per cell]  4 Br 2.49
Br (0.2451, 0.2500, 0.6250) [8 per cell]  2 Rh 2.49, 2 Ta 2.52

Values from the calculation:
- density (Mg/m³) = 7.8
- volume (Å³/cell) = 375.66

---

What should be chosen as the most stable of them? Choose model 2.

---

Model 1:
Density functional theory data (PBE) for TaRhBr2 after structural relaxation.

Unit cell a=3.2248 b=4.4728 c=5.3860 alpha=90.00 beta=93.22 gamma=90.00
With the nearest neighbours (Å) after each atom.
Space group P2/m (No. 10)
Unique sites:
Ta (0.0000, 0.0000, 0.0000) [1 per cell]  4 Br 2.68
Rh (0.5000, 0.0000, 0.5000) [1 per cell]  4 Br 2.74, 2 Ta 3.06
Br (0.2226, 0.5000, 0.2486) [2 per cell]  2 Ta 2.68, 2 Rh 2.74, 1 Br 2.97

Values from the calculation:
- density (Mg/m³) = 9.5
- volume (Å³/cell) = 77.56

---

Model 2:
Density functional theory data (PBE) for TaRhBr2 after structural relaxation.

Unit cell a=3.2712 b=3.2712 c=6.4962 alpha=90.00 beta=90.00 gamma=90.00
With the nearest neighbours (Å) after each atom.
Space group P4/mmm (No. 123)
Unique sites:
Ta (0.0000, 0.0000, 0.0000) [1 per cell]  8 Br 2.80
Rh (0.0000, 0.0000, 0.5000) [1 per cell]  8 Br 2.86
Br (0.5000, 0.5000, 0.2423) [2 per cell]  4 Ta 2.80, 4 Rh 2.86

Values from the calculation:
- density (Mg/m³) = 10.6
- volume (Å³/cell) = 69.51

---

Model 3:
Density functional theory data (PBE) for TaRhBr2 after structural relaxation.

Unit cell a=3.2361 b=4.2472 c=15.0625 alpha=90.00 beta=90.00 gamma=90.00
With the nearest neighbours (Å) after each atom.
Space group Immm (No. 71)
Unique sites:
Ta (0.0000, 0.0000, 0.0000) [2 per cell]  4 Rh 2.67, 4 Br 2.69
Rh (0.0000, 0.0000, 0.5000) [2 per cell]  4 Ta 2.67
Br (0.0000, 0.5000, 0.3570) [4 per cell]  2 Ta 2.69

Values from the calculation:
- density (Mg/m³) = 7.1
- volume (Å³/cell) = 207.03

---

What should be chosen as the most stable of them? Choose model 3.

---

Model 1:
Density functional theory data (PBE) for TaRhBr2 after structural relaxation.

Unit cell a=3.6017 b=3.6017 c=26.5459 alpha=90.00 beta=90.00 gamma=120.00
With the nearest neighbours (Å) after each atom.
Space group R3m (No. 160, hexagonal axes)
Unique sites:
Ta (0.0000, 0.0000, 0.0000) [3 per cell]  3 Rh 2.49
Rh (0.0000, 0.0000, 0.7180) [3 per cell]  3 Ta 2.49, 3 Br 2.77
Br (0.0000, 0.0000, 0.2594) [3 per cell]  3 Ta 2.86
Br (0.0000, 0.0000, 0.4537) [3 per cell]  3 Rh 2.77

Values from the calculation:
- density (Mg/m³) = 7.4
- volume (Å³/cell) = 298.22

---

Model 2:
Density functional theory data (PBE) for TaRhBr2 after structural relaxation.

Unit cell a=3.0567 b=4.4782 c=5.5412 alpha=90.00 beta=90.00 gamma=90.00
With the nearest neighbours (Å) after each atom.
Space group Pmmm (No. 47)
Unique sites:
Ta (0.0000, 0.0000, 0.0000) [1 per cell]  4 Br 2.71
Rh (0.5000, 0.0000, 0.5000) [1 per cell]  4 Br 2.71
Br (0.0000, 0.5000, 0.5000) [1 per cell]  4 Rh 2.71
Br (0.5000, 0.5000, 0.0000) [1 per cell]  4 Ta 2.71

Values from the calculation:
- density (Mg/m³) = 9.7
- volume (Å³/cell) = 75.85

---

Model 3:
Density functional theory data (PBE) for TaRhBr2 after structural relaxation.

Unit cell a=3.4734 b=5.0704 c=7.3568 alpha=105.29 beta=97.86 gamma=108.22
With the nearest neighbours (Å) after each atom.
Space group P1 (No. 1)
Unique sites:
Ta (0.0000, 0.0000, 0.0000) [1 per cell]  2 Rh 2.42-2.46, 2 Br 2.48
Rh (0.3298, 0.6437, 0.9999) [1 per cell]  2 Ta 2.42-2.46, 2 Br 2.59
Br (0.2962, 0.4475, 0.2906) [1 per cell]  1 Ta 2.48, 1 Rh 2.59
Br (0.9954, 0.1609, 0.7094) [1 per cell]  1 Ta 2.48, 1 Rh 2.59

Values from the calculation:
- density (Mg/m³) = 6.4
- volume (Å³/cell) = 115.27

---

Model 4:
Density functional theory data (PBE) for TaRhBr2 after structural relaxation.

Unit cell a=6.5375 b=6.5375 c=6.5375 alpha=90.00 beta=90.00 gamma=90.00
With the nearest neighbours (Å) after each atom.
Space group Fm-3m (No. 225)
Unique sites:
Ta (0.0000, 0.0000, 0.0000) [4 per cell]  8 Br 2.83
Rh (0.0000, 0.0000, 0.5000) [4 per cell]  8 Br 2.83
Br (0.2500, 0.2500, 0.2500) [8 per cell]  4 Ta 2.83, 4 Rh 2.83

Values from the calculation:
- density (Mg/m³) = 10.5
- volume (Å³/cell) = 279.41

---

What should be chosen as the most stable of them? Choose model 1.

---

Model 1:
Density functional theory data (PBE) for TaRhBr2 after structural relaxation.

Unit cell a=3.5191 b=3.3167 c=8.4118 alpha=90.00 beta=102.00 gamma=90.00
With the nearest neighbours (Å) after each atom.
Space group Pm (No. 6)
Unique sites:
Ta (0.0000, 0.0000, 0.0000) [1 per cell]  3 Br 2.65-2.71, 4 Rh 2.66-2.67
Rh (0.5674, 0.5000, 0.1361) [1 per cell]  4 Ta 2.66-2.67, 4 Br 2.90
Br (0.1635, 0.0000, 0.3296) [1 per cell]  1 Ta 2.71, 4 Rh 2.90
Br (0.8749, 0.5000, 0.7486) [1 per cell]  2 Ta 2.65

Values from the calculation:
- density (Mg/m³) = 7.7
- volume (Å³/cell) = 96.04

---

Model 2:
Density functional theory data (PBE) for TaRhBr2 after structural relaxation.

Unit cell a=14.7576 b=3.2697 c=4.2776 alpha=90.00 beta=94.90 gamma=90.00
With the nearest neighbours (Å) after each atom.
Space group C2/m (No. 12)
Unique sites:
Ta (0.0000, 0.0000, 0.0000) [2 per cell]  4 Rh 2.69, 4 Br 2.73
Rh (0.0000, 0.5000, 0.5000) [2 per cell]  2 Br 2.55, 4 Ta 2.69
Br (0.1414, 0.5000, 0.1957) [4 per cell]  1 Rh 2.55, 2 Ta 2.73

Values from the calculation:
- density (Mg/m³) = 7.2
- volume (Å³/cell) = 205.66

---

Model 3:
Density functional theory data (PBE) for TaRhBr2 after structural relaxation.

Unit cell a=3.2413 b=5.0663 c=11.8407 alpha=90.00 beta=90.00 gamma=90.00
With the nearest neighbours (Å) after each atom.
Space group Imm2 (No. 44)
Unique sites:
Ta (0.0000, 0.0000, 0.0000) [2 per cell]  2 Rh 2.42
Rh (0.0000, 0.5000, 0.3487) [2 per cell]  2 Ta 2.42
Br (0.0000, 0.0000, 0.4924) [2 per cell]  4 Ta 3.01, 2 Rh 3.05, 2 Br 3.24
Br (0.0000, 0.5000, 0.6934) [2 per cell]  2 Ta 2.81

Values from the calculation:
- density (Mg/m³) = 7.6
- volume (Å³/cell) = 194.44

---

What should be chosen as the most stable of them? Choose model 1.

---

Model 1:
Density functional theory data (PBE) for TaRhBr2 after structural relaxation.

Unit cell a=6.0535 b=8.8351 c=3.1905 alpha=90.00 beta=116.61 gamma=90.00
With the nearest neighbours (Å) after each atom.
Space group C2/m (No. 12)
Unique sites:
Ta (0.0000, 0.0000, 0.0000) [2 per cell]  4 Br 2.68
Rh (0.0000, 0.5000, 0.0000) [2 per cell]  4 Br 2.68
Br (0.2500, 0.2500, 0.0000) [4 per cell]  2 Ta 2.68, 2 Rh 2.68

Values from the calculation:
- density (Mg/m³) = 9.7
- volume (Å³/cell) = 152.56

---

Model 2:
Density functional theory data (PBE) for TaRhBr2 after structural relaxation.

Unit cell a=3.0486 b=5.8336 c=8.9576 alpha=90.00 beta=90.00 gamma=90.00
With the nearest neighbours (Å) after each atom.
Space group Cmmm (No. 65)
Unique sites:
Ta (0.0000, 0.0000, 0.0000) [2 per cell]  4 Br 2.68
Rh (0.0000, 0.0000, 0.5000) [2 per cell]  4 Br 2.74, 2 Rh 3.05
Br (0.0000, 0.5000, 0.2456) [4 per cell]  2 Ta 2.68, 2 Rh 2.74

Values from the calculation:
- density (Mg/m³) = 9.2
- volume (Å³/cell) = 159.31

---

What should be chosen as the most stable of them? Choose model 1.

---

Model 1:
Density functional theory data (PBE) for TaRhBr3 after structural relaxation.

Unit cell a=5.1080 b=5.1080 c=5.1080 alpha=90.00 beta=90.00 gamma=90.00
With the nearest neighbours (Å) after each atom.
Space group Pm-3m (No. 221)
Unique sites:
Ta (0.0000, 0.0000, 0.0000) [1 per cell]  6 Br 2.55
Rh (0.5000, 0.5000, 0.5000) [1 per cell]  12 Br 3.61
Br (0.0000, 0.0000, 0.5000) [3 per cell]  2 Ta 2.55

Values from the calculation:
- density (Mg/m³) = 6.5
- volume (Å³/cell) = 133.28

---

Model 2:
Density functional theory data (PBE) for TaRhBr3 after structural relaxation.

Unit cell a=5.0139 b=5.0139 c=5.0139 alpha=90.00 beta=90.00 gamma=90.00
With the nearest neighbours (Å) after each atom.
Space group Pm-3m (No. 221)
Unique sites:
Ta (0.0000, 0.0000, 0.0000) [1 per cell]  12 Br 3.55
Rh (0.5000, 0.5000, 0.5000) [1 per cell]  6 Br 2.51
Br (0.0000, 0.5000, 0.5000) [3 per cell]  2 Rh 2.51

Values from the calculation:
- density (Mg/m³) = 6.9
- volume (Å³/cell) = 126.04

---

What should be chosen as the most stable of them? Choose model 1.